Material: SiAsCl3
Method: DFT, GGA-PBE
State: optimized geometry

Results
Raw formation energy (meV per atom): 104
Energy above the lowest structure with this stoichiometry (meV per atom): 0
Symmetry: Pm-3m, No. 221

abc: 4.962 4.962 4.962
angles: 90.00 90.00 90.00
Each line ends with the local moment (μB).
Atoms (fractional coordinates):
1 Cl 0.000 0.000 0.500  0.05
2 Cl 0.500 0.000 0.000  0.04
3 Cl 0.000 0.500 0.000  0.02
4 Si 0.000 0.000 0.000  0.00
5 As 0.500 0.500 0.500  1.05